## BeOs2Pt (PBE-GGA)

Data for BeOs2Pt after structural relaxation.

The structure belongs to space group Amm2 (No. 38); the cell edges are 3.873, 2.746 and 10.179 Å and the angles 90.00°, 90.00° and 90.00°. Symmetry generates all atoms from Be at (0.000, 0.000, 0.000), Os at (0.000, 0.000, 0.227), Os at (0.500, 0.000, 0.613) and Pt at (0.500, 0.000, 0.878).

For the formation energy, the calculation gives -0.02 eV/atom. For the total energy, the calculation gives -32.3 eV/f.u.

=====

## MoIr2Ru (PBE-GGA)

Data for MoIr2Ru after structural relaxation.

The structure belongs to space group F-43m (No. 216); the cell edges are 6.218, 6.218 and 6.218 Å and the angles 90.00°, 90.00° and 90.00°. Symmetry generates all atoms from Mo at (0.000, 0.000, 0.000), Ir at (0.000, 0.000, 0.500), Ir at (0.250, 0.250, 0.750) and Ru at (0.250, 0.250, 0.250).

For the formation energy, the calculation gives 0.32 eV/atom. For the total energy, the calculation gives -36.6 eV/f.u. As for the relative energy among the computed polymorphs: 565 meV/atom.

=====

## HgAs2 (PBE-GGA)

Data for HgAs2 after structural relaxation.

The structure belongs to space group P-62m (No. 189); the cell edges are 9.4946, 9.4946 and 3.5558 Å and the angles 90.00°, 90.00° and 120.00°. Symmetry generates all atoms from Hg at (0.0000, 0.0000, 0.0000), Hg at (0.3333, 0.6667, 0.5000), As at (0.0000, 0.4140, 0.5000) and As at (0.0000, 0.5909, 0.0000).

For the formation energy, the calculation gives 0.26 eV/atom. For the total energy, the calculation gives -8.8 eV/f.u.

=====

## LaCoCu2 (PBE-GGA)

Data for LaCoCu2 after structural relaxation.

The structure belongs to space group Cmmm (No. 65); the cell edges are 4.902, 7.158 and 4.207 Å and the angles 90.00°, 90.00° and 90.00°. Symmetry generates all atoms from La at (0.000, 0.000, 0.000), Co at (0.000, 0.500, 0.000) and Cu at (0.000, 0.329, 0.500).

For the formation energy, the calculation gives 0.07 eV/atom. For the total energy, the calculation gives -19.9 eV/f.u.

=====

## Cd6CuAg (PBE-GGA)

Data for Cd6CuAg after structural relaxation.

The structure belongs to space group R-3 (No. 148, hexagonal axes); the cell edges are 6.6194, 6.6194 and 14.7324 Å and the angles 90.00°, 90.00° and 120.00°. Symmetry generates all atoms from Cd at (0.0186, 0.2738, 0.2462), Cu at (0.0000, 0.0000, 0.5000) and Ag at (0.0000, 0.0000, 0.0000).

For the formation energy, the calculation gives 0.15 eV/atom. For the total energy, the calculation gives -11.2 eV/f.u.

=====

## ScSiOs2 (PBE-GGA)

Data for ScSiOs2 after structural relaxation.

The structure belongs to space group Cmm2 (No. 35); the cell edges are 3.035, 4.744 and 8.599 Å and the angles 90.00°, 90.00° and 90.00°. Symmetry generates all atoms from Sc at (0.000, 0.000, 0.000), Si at (0.000, 0.500, 0.266), Os at (0.000, 0.000, 0.480) and Os at (0.000, 0.500, 0.748).

For the total energy, the calculation gives -33.5 eV/f.u. The uncorrected formation energy comes out at 0.7 eV/f.u.

=====

## Ho2Zr2Sc7 (PBE-GGA)

Data for Ho2Zr2Sc7 after structural relaxation.

The structure belongs to space group C2/m (No. 12); the cell edges are 6.322, 9.767 and 9.083 Å and the angles 90.00°, 90.18° and 90.00°. Symmetry generates all atoms from Ho at (0.000, 0.198, 0.000), Zr at (0.184, 0.000, 0.244), Sc at (0.000, 0.500, 0.500), Sc at (0.142, 0.209, 0.648) and Sc at (0.142, 0.500, 0.141).

For the formation energy, the calculation gives 0.14 eV/atom. For the total energy, the calculation gives -69.0 eV/f.u.

=====

## LaCu2Ni (PBE-GGA)

Data for LaCu2Ni after structural relaxation.

The structure belongs to space group C2/m (No. 12); the cell edges are 7.283, 4.162 and 5.406 Å and the angles 90.00°, 115.61° and 90.00°. Symmetry generates all atoms from La at (0.000, 0.000, 0.000), Cu at (0.198, 0.000, 0.596) and Ni at (0.000, 0.500, 0.500).

For the formation energy, the calculation gives -0.16 eV/atom. For the total energy, the calculation gives -19.5 eV/f.u.

=====

## La3TbAg (PBE-GGA)

Data for La3TbAg after structural relaxation.

The structure belongs to space group Pmmn (No. 59, origin choice 2); the cell edges are 3.755, 10.918 and 8.240 Å and the angles 90.00°, 90.00° and 90.00°. Symmetry generates all atoms from La at (0.250, 0.005, 0.241), La at (0.250, 0.250, 0.550), Tb at (0.250, 0.250, 0.945) and Ag at (0.250, 0.750, 0.769).

For the formation energy, the calculation gives -0.01 eV/atom. For the total energy, the calculation gives -22.3 eV/f.u.

=====

## K2AuC2 (PBE-GGA)

Data for K2AuC2 after structural relaxation.

The structure belongs to space group I4/mmm (No. 139); the cell edges are 5.849, 5.849 and 6.699 Å and the angles 90.00°, 90.00° and 90.00°. Symmetry generates all atoms from K at (0.000, 0.500, 0.250), Au at (0.000, 0.000, 0.000) and C at (0.000, 0.000, 0.405).

For the formation energy, the calculation gives 0.53 eV/atom. For the total energy, the calculation gives -21.3 eV/f.u.

=====

## TlReF2 (PBE-GGA)

Data for TlReF2 after structural relaxation.

The structure belongs to space group Fm-3m (No. 225); the cell edges are 6.623, 6.623 and 6.623 Å and the angles 90.00°, 90.00° and 90.00°. Symmetry generates all atoms from Tl at (0.000, 0.000, 0.000), Re at (0.000, 0.000, 0.500) and F at (0.250, 0.250, 0.250).

For the total energy, the calculation gives -18.0 eV/f.u. As for the relative energy among the computed polymorphs: 1006 meV/atom. The uncorrected formation energy comes out at 0.5 eV/f.u.

=====

## RbIn3Bi (PBE-GGA)

Data for RbIn3Bi after structural relaxation.

The structure belongs to space group Cm (No. 8); the cell edges are 7.693, 7.663 and 7.125 Å and the angles 90.00°, 122.65° and 90.00°. Symmetry generates all atoms from Rb at (0.000, 0.000, 0.000), In at (0.003, 0.251, 0.507), In at (0.357, 0.000, 0.716) and Bi at (0.113, 0.500, 0.225).

For the formation energy, the calculation gives -0.14 eV/atom. For the total energy, the calculation gives -13.8 eV/f.u. As for the relative energy among the computed polymorphs: 0 meV/atom.

=====

## CaTa2HgRh (PBE-GGA)

Data for CaTa2HgRh after structural relaxation.

The structure belongs to space group P4/mmm (No. 123); the cell edges are 4.875, 4.875 and 4.623 Å and the angles 90.00°, 90.00° and 90.00°. Symmetry generates all atoms from Ca at (0.000, 0.000, 0.000), Ta at (0.000, 0.500, 0.000), Hg at (0.500, 0.500, 0.500) and Rh at (0.000, 0.000, 0.500).

For the formation energy, the calculation gives 2.12 eV/atom. For the total energy, the calculation gives -22.7 eV/f.u.

=====

## Ac4In2B (PBE-GGA)

Data for Ac4In2B after structural relaxation.

The structure belongs to space group I4/mmm (No. 139); the cell edges are 5.523, 5.523 and 16.779 Å and the angles 90.00°, 90.00° and 90.00°. Symmetry generates all atoms from Ac at (0.000, 0.000, 0.174), Ac at (0.000, 0.500, 0.000), In at (0.000, 0.000, 0.372) and B at (0.000, 0.000, 0.000).

For the formation energy, the calculation gives -0.10 eV/atom. For the total energy, the calculation gives -29.3 eV/f.u.

=====

## TlHAu (PBE-GGA)

Data for TlHAu after structural relaxation.

The structure belongs to space group I4mm (No. 107); the cell edges are 4.255, 4.255 and 6.649 Å and the angles 90.00°, 90.00° and 90.00°. Symmetry generates all atoms from Tl at (0.000, 0.000, 0.000), H at (0.000, 0.000, 0.675) and Au at (0.000, 0.000, 0.422).

For the total energy, the calculation gives -8.4 eV/f.u. As for the relative energy among the computed polymorphs: 102 meV/atom.

=====

## CdGaC2 (PBE-GGA)

Data for CdGaC2 after structural relaxation.

The structure belongs to space group I-42d (No. 122); the cell edges are 4.971, 4.971 and 9.769 Å and the angles 90.00°, 90.00° and 90.00°. Symmetry generates all atoms from Cd at (0.000, 0.000, 0.000), Ga at (0.000, 0.000, 0.500) and C at (0.203, 0.250, 0.625).

For the formation energy, the calculation gives 1.52 eV/atom. For the total energy, the calculation gives -16.3 eV/f.u. As for the relative energy among the computed polymorphs: 0 meV/atom.

=====

## Zn2AuI2 (PBE-GGA)

Data for Zn2AuI2 after structural relaxation.

The structure belongs to space group P4/mbm (No. 127); the cell edges are 8.779, 8.779 and 4.028 Å and the angles 90.00°, 90.00° and 90.00°. Symmetry generates all atoms from Zn at (0.096, 0.404, 0.000), Au at (0.000, 0.000, 0.500) and I at (0.242, 0.258, 0.500).

For the total energy, the calculation gives -8.2 eV/f.u. As for the relative energy among the computed polymorphs: 0 meV/atom. The uncorrected formation energy comes out at 0.7 eV/f.u.

=====

## HfCoI3 (PBE-GGA)

Data for HfCoI3 after structural relaxation.

The structure belongs to space group Pm-3m (No. 221); the cell edges are 5.115, 5.115 and 5.115 Å and the angles 90.00°, 90.00° and 90.00°. Symmetry generates all atoms from Hf at (0.000, 0.000, 0.000), Co at (0.500, 0.500, 0.500) and I at (0.000, 0.500, 0.500).

For the total energy, the calculation gives -18.6 eV/f.u. As for the relative energy among the computed polymorphs: 0 meV/atom. The uncorrected formation energy comes out at 3.1 eV/f.u.

=====

## KSrTcOs2 (PBE-GGA)

Data for KSrTcOs2 after structural relaxation.

The structure belongs to space group P4/mmm (No. 123); the cell edges are 4.795, 4.795 and 5.616 Å and the angles 90.00°, 90.00° and 90.00°. Symmetry generates all atoms from K at (0.000, 0.000, 0.000), Sr at (0.500, 0.500, 0.000), Tc at (0.500, 0.500, 0.500) and Os at (0.000, 0.500, 0.500).

For the formation energy, the calculation gives 1.30 eV/atom. For the total energy, the calculation gives -29.1 eV/f.u.

=====

## HfScF3 (PBE-GGA)

Data for HfScF3 after structural relaxation.

The structure belongs to space group Pm-3m (No. 221); the cell edges are 4.295, 4.295 and 4.295 Å and the angles 90.00°, 90.00° and 90.00°. Symmetry generates all atoms from Hf at (0.000, 0.000, 0.000), Sc at (0.500, 0.500, 0.500) and F at (0.000, 0.500, 0.500).

For the total energy, the calculation gives -31.1 eV/f.u. The uncorrected formation energy comes out at -9.2 eV/f.u.

=====

## Pr5TmSn5 (PBE-GGA)

Data for Pr5TmSn5 after structural relaxation.

The structure belongs to space group C2/m (No. 12); the cell edges are 16.610, 6.191 and 7.341 Å and the angles 90.00°, 105.95° and 90.00°. Symmetry generates all atoms from Pr at (0.000, 0.000, 0.000), Pr at (0.155, 0.500, 0.280), Pr at (0.180, 0.500, 0.788), Tm at (0.000, 0.000, 0.500), Sn at (0.000, 0.500, 0.500), Sn at (0.162, 0.000, 0.853) and Sn at (0.164, 0.000, 0.402).

For the formation energy, the calculation gives -0.49 eV/atom. For the total energy, the calculation gives -53.7 eV/f.u.

=====

## ZrFeTe2 (PBE-GGA)

Data for ZrFeTe2 after structural relaxation.

The structure belongs to space group R-3m (No. 166, hexagonal axes); the cell edges are 3.8433, 3.8433 and 21.8206 Å and the angles 90.00°, 90.00° and 120.00°. Symmetry generates all atoms from Zr at (0.0000, 0.0000, 0.0000), Fe at (0.0000, 0.0000, 0.5000) and Te at (0.0000, 0.0000, 0.2429).

For the total energy, the calculation gives -23.9 eV/f.u. The uncorrected formation energy comes out at -0.7 eV/f.u.

=====

## Ce2TiO5 (PBE-GGA)

Data for Ce2TiO5 after structural relaxation.

The structure belongs to space group Pnma (No. 62); the cell edges are 10.792, 3.838 and 11.513 Å and the angles 90.00°, 90.00° and 90.00°. Symmetry generates all atoms from Ce at (0.104, 0.250, 0.221), Ce at (0.138, 0.250, 0.558), Ti at (0.186, 0.250, 0.876), O at (0.012, 0.750, 0.601), O at (0.024, 0.250, 0.834), O at (0.220, 0.250, 0.041), O at (0.232, 0.750, 0.226) and O at (0.241, 0.750, 0.880).

For the total energy, the calculation gives -71.1 eV/f.u. As for the relative energy among the computed polymorphs: 0 meV/atom. The uncorrected formation energy comes out at -26.5 eV/f.u.

=====

## YHoCuHg (PBE-GGA)

Data for YHoCuHg after structural relaxation.

The structure belongs to space group P4mm (No. 99); the cell edges are 3.539, 3.539 and 7.443 Å and the angles 90.00°, 90.00° and 90.00°. Symmetry generates all atoms from Y at (0.000, 0.000, 0.000), Ho at (0.000, 0.000, 0.455), Cu at (0.500, 0.500, 0.233) and Hg at (0.500, 0.500, 0.724).

For the formation energy, the calculation gives -0.36 eV/atom. For the total energy, the calculation gives -16.9 eV/f.u. As for the relative energy among the computed polymorphs: 0 meV/atom.

=====

## LaHo4Ga5 (PBE-GGA)

Data for LaHo4Ga5 after structural relaxation.

The structure belongs to space group P4/mmm (No. 123); the cell edges are 3.587, 3.587 and 18.078 Å and the angles 90.00°, 90.00° and 90.00°. Symmetry generates all atoms from La at (0.000, 0.000, 0.000), Ho at (0.000, 0.000, 0.208), Ho at (0.000, 0.000, 0.403), Ga at (0.500, 0.500, 0.113), Ga at (0.500, 0.500, 0.306) and Ga at (0.500, 0.500, 0.500).

For the formation energy, the calculation gives -0.58 eV/atom. For the total energy, the calculation gives -44.2 eV/f.u.

=====

Number 1: total magnetic moment 0.0 Bohr magnetons per cell. Number 2: total magnetic moment 2.3 Bohr magnetons per cell. Number 3: total magnetic moment 0.0 Bohr magnetons per cell. Number 4: total magnetic moment 0.0 Bohr magnetons per cell. Number 5: total magnetic moment 0.0 Bohr magnetons per cell. Number 6: total magnetic moment 0.0 Bohr magnetons per cell. Number 7: total magnetic moment 0.0 Bohr magnetons per cell. Number 8: total magnetic moment 0.0 Bohr magnetons per cell. Number 9: total magnetic moment 0.0 Bohr magnetons per cell. Number 10: total magnetic moment 0.0 Bohr magnetons per cell. Number 11: total magnetic moment 23.0 Bohr magnetons per cell. Number 12: total magnetic moment 0.0 Bohr magnetons per cell. Number 13: total magnetic moment 0.0 Bohr magnetons per cell. Number 14: total magnetic moment 0.0 Bohr magnetons per cell. Number 15: total magnetic moment 0.0 Bohr magnetons per cell. Number 16: total magnetic moment 0.0 Bohr magnetons per cell. Number 17: total magnetic moment 0.0 Bohr magnetons per cell. Number 18: total magnetic moment 0.0 Bohr magnetons per cell. Number 19: total magnetic moment 0.8 Bohr magnetons per cell. Number 20: total magnetic moment 3.0 Bohr magnetons per cell. Number 21: total magnetic moment 0.0 Bohr magnetons per cell. Number 22: total magnetic moment 11.5 Bohr magnetons per cell. Number 23: total magnetic moment 8.2 Bohr magnetons per cell. Number 24: total magnetic moment 0.0 Bohr magnetons per cell. Number 25: total magnetic moment 0.0 Bohr magnetons per cell.